5
Lattice="5.102 0.000 0.000 0.000 5.102 0.000 0.000 0.000 5.102" Properties=species:S:1:pos:R:3 comment="SrGeSe3 (PBE-GGA, relaxed)" polymorph_energy_mev_per_atom=253 rho_g_cm3=4.97 formation_energy_uncorrected_ev_per_atom=-0.67 magmom_total_mub_per_fu=0.00 pbc="T T T"
Se 0.000 2.551 0.000
Se 0.000 0.000 2.551
Se 2.551 0.000 0.000
Sr 2.551 2.551 2.551
Ge 0.000 0.000 0.000


10
Lattice="-4.705 -0.852 1.106 -0.964 -4.917 -6.042 1.525 -7.170 2.814" Properties=species:S:1:pos:R:3 comment="SrGeSe3 (PBE-GGA, relaxed)" polymorph_energy_mev_per_atom=0 rho_g_cm3=4.54 formation_energy_uncorrected_ev_per_atom=-0.92 magmom_total_mub_per_fu=0.00 pbc="T T T"
Ge -3.658 -2.469 -0.663
Ge -3.005 -8.850 -0.959
Se -4.641 -1.275 1.102
Se -3.661 -10.674 0.540
Se -1.477 -7.816 0.652
Se -2.023 -10.045 -2.725
Se -2.093 -4.190 -0.351
Se -4.571 -7.130 -1.271
Sr -3.794 -5.948 1.777
Sr -2.871 -5.372 -3.399